Below is a relaxed AlSiNi2 crystal, with properties calculated at the PBEsol level.

For the formation energy from raw total energies, the calculation gives -0.69 eV per formula unit. For the density of states at the Fermi level, the calculation gives 0.6748 states/eV per atom.

It has space group R3m (No. 160, hexagonal axes), with a = 2.6908 Å, b = 2.6908 Å, c = 23.0249 Å, α = 90.00°, β = 90.00° and γ = 120.00°. The asymmetric unit holds Al at (0.0000, 0.0000, 0.0000), Si at (0.0000, 0.0000, 0.7623), Ni at (0.0000, 0.0000, 0.2543) and Ni at (0.0000, 0.0000, 0.5021).